KLiWO3 after structural relaxation, computed with GGA+U.

```
KLiWO3
1.0
-0.4479 -2.9724 -3.0468
-0.0536 -3.2859 2.7420
-4.0957 0.8728 0.3263
K Li W O
1 1 1 3
Direct
0.4315 0.4315 0.5718
0.7201 0.7201 0.2669
0.0304 0.0304 0.9696
0.5213 0.0065 0.9903
0.0065 0.5213 0.9903
0.0069 0.0069 0.4778
```

Output
space group: Cm, No. 8
DFT total energy: -35.000 eV per cell
crystal system: monoclinic
theoretical density: 6.07 g cm⁻³